[1]
# CeSmCdIr

An optimized crystal structure of CeSmCdIr (PBE-GGA, Alexandria).

The structure in POSCAR format:
```
CeSmCdIr
1.0
5.147 0.000 0.000
2.574 4.458 0.000
2.574 1.486 4.203
Ir Ce Sm Cd
1 1 1 1
direct
0.250 0.250 0.250
0.500 0.500 0.500
0.000 0.000 0.000
0.750 0.750 0.750
```

M_tot = 0.760 Bohr magnetons per cell
Energy of formation from the pure elements = -1.519 eV per formula unit
DFT total energy = -5.49 eV/atom



[2]
# Ce2TlCdIr

An optimized crystal structure of Ce2TlCdIr (PBE-GGA, Alexandria).

The structure in POSCAR format:
```
Ce2TlCdIr
1.0
-0.117 -1.659 -3.737
-7.544 -3.103 1.615
-0.662 7.474 -3.298
Ce Tl Cd Ir
4 2 2 2
direct
0.750 0.900 0.667
0.750 0.713 0.007
0.250 0.100 0.333
0.250 0.287 0.993
0.250 0.698 0.320
0.750 0.302 0.680
0.250 0.557 0.646
0.750 0.443 0.354
0.250 0.884 0.896
0.750 0.116 0.104
```

M_tot = 2.684 Bohr magnetons per cell
Energy of formation from the pure elements = -2.181 eV per formula unit
DFT total energy = -5.24 eV/atom



[3]
# CeTmCdIr

An optimized crystal structure of CeTmCdIr (PBE-GGA, Alexandria).

The structure in POSCAR format:
```
CeTmCdIr
1.0
-2.883 1.040 4.037
1.843 -0.677 4.673
1.065 4.011 2.910
Ir Tm Ce Cd
1 1 1 1
direct
0.500 0.500 0.500
0.750 0.750 0.750
0.250 0.250 0.250
0.000 0.000 0.000
```

M_tot = 0.782 Bohr magnetons per cell
Energy of formation from the pure elements = -1.760 eV per formula unit
DFT total energy = -5.49 eV/atom



[4]
# CeZnCdIr

An optimized crystal structure of CeZnCdIr (PBE-GGA, Alexandria).

The structure in POSCAR format:
```
CeZnCdIr
1.0
4.835 0.000 0.000
2.417 4.187 0.000
2.417 1.396 3.948
Zn Ir Ce Cd
1 1 1 1
direct
0.250 0.250 0.250
0.750 0.750 0.750
0.500 0.500 0.500
0.000 0.000 0.000
```

M_tot = 0.000 Bohr magnetons per cell
Energy of formation from the pure elements = -1.070 eV per formula unit
DFT total energy = -4.51 eV/atom



[5]
# KCeCd2

An optimized crystal structure of KCeCd2 (PBE-GGA, Alexandria).

The structure in POSCAR format:
```
KCeCd2
1.0
-2.977 2.276 -0.603
0.397 -0.473 -3.745
-5.450 -7.045 0.313
K Ce Cd
1 1 2
direct
0.500 0.500 0.500
0.500 0.500 0.000
0.000 0.000 0.785
0.000 0.000 0.215
```

M_tot = 1.450 Bohr magnetons per cell
Energy of formation from the pure elements = -0.154 eV per formula unit
DFT total energy = -2.25 eV/atom



[6]
# KCeCd10

An optimized crystal structure of KCeCd10 (PBE-GGA, Alexandria).

The structure in POSCAR format:
```
KCeCd10
1.0
4.869 0.000 0.000
0.000 6.044 0.000
0.000 0.000 10.422
K Ce Cd
1 1 10
direct
0.000 0.000 0.000
0.000 0.500 0.500
0.000 0.000 0.333
0.000 0.500 0.833
0.000 0.500 0.167
0.000 0.000 0.667
0.500 0.000 0.500
0.500 0.500 0.000
0.500 0.262 0.267
0.500 0.738 0.733
0.500 0.738 0.267
0.500 0.262 0.733
```

M_tot = 1.198 Bohr magnetons per cell
Energy of formation from the pure elements = -1.055 eV per formula unit
DFT total energy = -1.44 eV/atom



[7]
# KCeCd4

An optimized crystal structure of KCeCd4 (PBE-GGA, Alexandria).

The structure in POSCAR format:
```
KCeCd4
1.0
-4.524 1.808 3.722
-0.607 -2.542 5.546
1.286 3.267 5.027
K Ce Cd
1 1 4
direct
0.000 0.000 0.000
0.250 0.250 0.250
0.625 0.625 0.126
0.625 0.126 0.625
0.625 0.625 0.625
0.126 0.625 0.625
```

M_tot = 1.372 Bohr magnetons per cell
Energy of formation from the pure elements = -0.182 eV per formula unit
DFT total energy = -1.81 eV/atom



[8]
# KCeCd17

An optimized crystal structure of KCeCd17 (PBE-GGA, Alexandria).

The structure in POSCAR format:
```
KCeCd17
1.0
-3.895 0.620 -6.685
-5.898 -4.713 1.801
-5.037 5.462 2.244
K Ce Cd
1 1 17
direct
0.662 0.662 0.662
0.332 0.332 0.332
0.297 0.001 0.701
0.701 0.297 0.001
0.001 0.701 0.297
0.297 0.701 0.001
0.001 0.297 0.701
0.701 0.001 0.297
0.350 0.861 0.350
0.350 0.350 0.861
0.861 0.350 0.350
0.632 0.181 0.632
0.632 0.632 0.181
0.181 0.632 0.632
0.990 0.511 0.990
0.990 0.990 0.511
0.511 0.990 0.990
0.905 0.905 0.905
0.105 0.105 0.105
```

M_tot = 1.223 Bohr magnetons per cell
Energy of formation from the pure elements = -1.642 eV per formula unit
DFT total energy = -1.28 eV/atom